Entry A
# PBE SrAc2Pb3, optimized geometry
data_SrAc2Pb3
_chemical_formula_sum 'Sr1 Ac2 Pb3'
_cell_length_a 3.8532
_cell_length_b 3.8532
_cell_length_c 14.2332
_cell_angle_alpha 90.00
_cell_angle_beta 90.00
_cell_angle_gamma 90.00
_symmetry_space_group_name_H-M 'P 4/m m m'
_symmetry_Int_Tables_number 123
_symmetry_space_group_name_Hall '-P 4 2'
loop_
_atom_site_label
_atom_site_fract_x
_atom_site_fract_y
_atom_site_fract_z
Sr1 0.0000 0.0000 0.0000
Ac1 0.0000 0.0000 0.3308
Pb1 0.5000 0.5000 0.1650
Pb2 0.5000 0.5000 0.5000
# * Fermi-level density of states: 5.42 states/eV/cell
# * spin magnetization: 0.000 μB/atom

Entry B
# PBE SrAc2Pb3, optimized geometry
data_SrAc2Pb3
_chemical_formula_sum 'Sr2 Ac4 Pb6'
_cell_length_a 5.4527
_cell_length_b 16.5372
_cell_length_c 4.7035
_cell_angle_alpha 90.00
_cell_angle_beta 90.00
_cell_angle_gamma 90.00
_symmetry_space_group_name_H-M 'C m m m'
_symmetry_Int_Tables_number 65
_symmetry_space_group_name_Hall '-C 2 2'
loop_
_atom_site_label
_atom_site_fract_x
_atom_site_fract_y
_atom_site_fract_z
Sr1 0.0000 0.0000 0.0000
Ac1 0.0000 0.3360 0.0000
Pb1 0.0000 0.1659 0.5000
Pb2 0.0000 0.5000 0.5000
# * Fermi-level density of states: 8.48 states/eV/cell
# * spin magnetization: 0.000 μB/atom

Result of the stability comparison: entry B is the least stable of them.

Entry A
# PBE SrAcPb, optimized geometry
data_SrAcPb
_chemical_formula_sum 'Sr1 Ac1 Pb1'
_cell_length_a 5.6906
_cell_length_b 5.6906
_cell_length_c 4.2437
_cell_angle_alpha 90.00
_cell_angle_beta 90.00
_cell_angle_gamma 120.00
_symmetry_space_group_name_H-M 'P 3 m 1'
_symmetry_Int_Tables_number 156
_symmetry_space_group_name_Hall 'P 3 -2"'
loop_
_atom_site_label
_atom_site_fract_x
_atom_site_fract_y
_atom_site_fract_z
Sr1 0.0000 0.0000 0.0000
Ac1 0.6667 0.3333 0.4642
Pb1 0.3333 0.6667 0.7597
# * Fermi-level density of states: 4.29 states/eV/cell
# * spin magnetization: 0.000 μB/atom

Entry B
# PBE SrAcPb, optimized geometry
data_SrAcPb
_chemical_formula_sum 'Sr2 Ac2 Pb2'
_cell_length_a 5.0396
_cell_length_b 5.0396
_cell_length_c 9.3227
_cell_angle_alpha 90.00
_cell_angle_beta 90.00
_cell_angle_gamma 90.00
_symmetry_space_group_name_H-M 'P 4/n m m'
_symmetry_Int_Tables_number 129
loop_
_symmetry_equiv_pos_as_xyz
'x,y,z'
'-x,-y,-z'
'-y+1/2,x,z'
'y+1/2,-x,-z'
'-x+1/2,-y+1/2,z'
'x+1/2,y+1/2,-z'
'y,-x+1/2,z'
'-y,x+1/2,-z'
'x+1/2,-y,-z'
'-x+1/2,y,z'
'-y,-x,-z'
'y,x,z'
'-x,y+1/2,-z'
'x,-y+1/2,z'
'y+1/2,x+1/2,-z'
'-y+1/2,-x+1/2,z'
loop_
_atom_site_label
_atom_site_fract_x
_atom_site_fract_y
_atom_site_fract_z
Sr1 0.2500 0.7500 0.0000
Ac1 0.2500 0.2500 0.3619
Pb1 0.2500 0.2500 0.7320
# * Fermi-level density of states: 4.97 states/eV/cell
# * spin magnetization: 0.344 μB/atom

Result of the stability comparison: entry A is the least stable of them.